WClO (PBE+U, relaxed); theoretical density = 6.07 Mg/m³; E = -0.4326 Ry per atom; SG = C2/m, No. 12; magnetic moment = 3.000 μB/f.u.
1.0
6.209 -1.771 0.000
6.209 1.771 0.000
-2.267 0.000 5.856
W Cl O
2 2 2
direct
0.245 0.245 0.278
0.755 0.755 0.722
0.128 0.128 0.836
0.872 0.872 0.164
0.327 0.327 0.639
0.673 0.673 0.361